## P
Entry from Alexandria: LiLa2Pd2 after structural relaxation (GGA-PBE).

Values from the calculation:
Symmetry: I4/mmm
Mass density in g/cm³: 6.28

a = 5.6703 Å, b = 5.6703 Å, c = 5.7276 Å
α = 60.33°, β = 60.33°, γ = 90.00°
Last column: nearest neighbours and their distance in Å.
Atoms (fractional coordinates):
Li 0.0000 0.0000 0.0000  2 Pd 2.73
Pd 0.3342 0.3342 0.3316  1 Pd 2.71, 1 Li 2.73, 4 La 2.92
Pd 0.6658 0.6658 0.6684  1 Pd 2.71, 1 Li 2.73, 4 La 2.92
La 0.7500 0.2500 0.5000  4 Pd 2.92
La 0.2500 0.7500 0.5000  4 Pd 2.92



## Q
Entry from Alexandria: LiLa2Pd2 after structural relaxation (GGA-PBE).

Values from the calculation:
Symmetry: P4/mbm
Mass density in g/cm³: 6.44

a = 8.5170 Å, b = 8.5170 Å, c = 3.5371 Å
α = 90.00°, β = 90.00°, γ = 90.00°
Last column: nearest neighbours and their distance in Å.
Atoms (fractional coordinates):
Li 0.0000 0.0000 0.0000  4 La 3.24, 2 Li 3.54
Li 0.5000 0.5000 0.0000  4 La 3.24, 2 Li 3.54
Pd 0.1452 0.6452 0.5000  6 La 3.02-3.08
Pd 0.6452 0.8548 0.5000  6 La 3.02-3.08
Pd 0.8548 0.3548 0.5000  6 La 3.02-3.08
Pd 0.3548 0.1452 0.5000  6 La 3.02-3.08
La 0.3487 0.8487 0.0000  6 Pd 3.02-3.08, 2 Li 3.24
La 0.8487 0.6513 0.0000  6 Pd 3.02-3.08, 2 Li 3.24
La 0.6513 0.1513 0.0000  6 Pd 3.02-3.08, 2 Li 3.24
La 0.1513 0.3487 0.0000  6 Pd 3.02-3.08, 2 Li 3.24



## R
Entry from Alexandria: LiLa2Pd2 after structural relaxation (GGA-PBE).

Values from the calculation:
Symmetry: I4/mmm
Mass density in g/cm³: 6.17

a = 4.0511 Å, b = 4.0511 Å, c = 8.6441 Å
α = 76.45°, β = 76.45°, γ = 90.00°
Last column: nearest neighbours and their distance in Å.
Atoms (fractional coordinates):
Li 0.0000 0.0000 0.0000  8 La 3.46
Pd 0.7500 0.2500 0.5000  4 Pd 2.86, 4 La 2.95
Pd 0.2500 0.7500 0.5000  4 Pd 2.86, 4 La 2.95
La 0.3812 0.3812 0.2377  4 Pd 2.95
La 0.6188 0.6188 0.7623  4 Pd 2.95



P ends up most stable, edging out the next structure by 52 meV/atom.



## P
Entry from Alexandria: LiLa2Pd2 after structural relaxation (GGA-PBE).

Values from the calculation:
Symmetry: P4/mbm
Mass density in g/cm³: 6.61

a = 7.9072 Å, b = 7.9072 Å, c = 3.9995 Å
α = 90.00°, β = 90.00°, γ = 90.00°
Last column: nearest neighbours and their distance in Å.
Atoms (fractional coordinates):
Li 0.0000 0.0000 0.0000  4 Pd 3.09
Li 0.5000 0.5000 0.0000  4 Pd 3.09
Pd 0.3673 0.8673 0.0000  1 Pd 2.97, 6 La 2.99-3.12, 2 Li 3.09
Pd 0.8673 0.6327 0.0000  1 Pd 2.97, 6 La 2.99-3.12, 2 Li 3.09
Pd 0.6327 0.1327 0.0000  1 Pd 2.97, 6 La 2.99-3.12, 2 Li 3.09
Pd 0.1327 0.3673 0.0000  1 Pd 2.97, 6 La 2.99-3.12, 2 Li 3.09
La 0.1683 0.6683 0.5000  6 Pd 2.99-3.12
La 0.6683 0.8317 0.5000  6 Pd 2.99-3.12
La 0.8317 0.3317 0.5000  6 Pd 2.99-3.12
La 0.3317 0.1683 0.5000  6 Pd 2.99-3.12



## Q
Entry from Alexandria: LiLa2Pd2 after structural relaxation (GGA-PBE).

Values from the calculation:
Symmetry: P4/mmm
Mass density in g/cm³: 5.31

a = 5.5104 Å, b = 5.5104 Å, c = 5.1205 Å
α = 90.00°, β = 90.00°, γ = 90.00°
Last column: nearest neighbours and their distance in Å.
Atoms (fractional coordinates):
Li 0.5000 0.5000 0.5000  8 La 3.76, 4 Pd 3.90
Pd 0.0000 0.0000 0.0000  2 Pd 2.56, 4 La 2.76
Pd 0.0000 0.0000 0.5000  2 Pd 2.56
La 0.0000 0.5000 0.0000  2 Pd 2.76
La 0.5000 0.0000 0.0000  2 Pd 2.76



P ends up most stable, edging out the next structure by 557 meV/atom.



## P
Entry from Alexandria: SrLiLa2Pd after structural relaxation (GGA-PBE).

Values from the calculation:
Symmetry: P4/mmm
Mass density in g/cm³: 4.50

a = 5.7050 Å, b = 5.7050 Å, c = 5.4330 Å
α = 90.00°, β = 90.00°, γ = 90.00°
Last column: nearest neighbours and their distance in Å.
Atoms (fractional coordinates):
Sr 0.5000 0.5000 0.5000  8 La 3.94, 4 Li 4.03
Li 0.0000 0.0000 0.5000  2 Pd 2.72
Pd 0.0000 0.0000 0.0000  2 Li 2.72, 4 La 2.85
La 0.0000 0.5000 0.0000  2 Pd 2.85
La 0.5000 0.0000 0.0000  2 Pd 2.85



## Q
Entry from Alexandria: SrLiLa2Pd after structural relaxation (GGA-PBE).

Values from the calculation:
Symmetry: P4/mmm
Mass density in g/cm³: 4.01

a = 5.6650 Å, b = 5.6650 Å, c = 6.1748 Å
α = 90.00°, β = 90.00°, γ = 90.00°
Last column: nearest neighbours and their distance in Å.
Atoms (fractional coordinates):
Sr 0.0000 0.0000 0.5000  2 Pd 3.09
Li 0.5000 0.5000 0.5000  4 Sr 4.01, 8 La 4.19
Pd 0.0000 0.0000 0.0000  4 La 2.83, 2 Sr 3.09
La 0.0000 0.5000 0.0000  2 Pd 2.83
La 0.5000 0.0000 0.0000  2 Pd 2.83



P ends up most stable, edging out the next structure by 17 meV/atom.



## P
Entry from Alexandria: LiLaZnPd2 after structural relaxation (GGA-PBE).

Values from the calculation:
Symmetry: P4/mmm
Mass density in g/cm³: 5.69

a = 4.8343 Å, b = 5.2991 Å, c = 4.8343 Å
α = 90.00°, β = 90.00°, γ = 90.00°
Last column: nearest neighbours and their distance in Å.
Atoms (fractional coordinates):
Zn 0.0000 0.0000 0.0000  4 Pd 2.42, 2 La 2.65
Li 0.5000 0.5000 0.5000  4 La 3.42, 8 Pd 3.59
Pd 0.0000 0.0000 0.5000  2 Zn 2.42
Pd 0.5000 0.0000 0.0000  2 Zn 2.42
La 0.0000 0.5000 0.0000  2 Zn 2.65



## Q
Entry from Alexandria: LiLaZnPd2 after structural relaxation (GGA-PBE).

Values from the calculation:
Symmetry: I-4m2
Mass density in g/cm³: 7.19

a = 4.0415 Å, b = 4.0415 Å, c = 6.6402 Å
α = 107.72°, β = 107.72°, γ = 90.00°
Last column: nearest neighbours and their distance in Å.
Atoms (fractional coordinates):
Li 0.2500 0.7500 0.5000  4 Pd 2.60, 4 Zn 2.86
La 0.0000 0.0000 0.0000  8 Pd 3.16
Zn 0.7500 0.2500 0.5000  4 Pd 2.60, 4 Li 2.86
Pd 0.6133 0.6133 0.2267  2 Li 2.60, 2 Zn 2.60, 1 Pd 2.72
Pd 0.3867 0.3867 0.7733  2 Zn 2.60, 2 Li 2.60, 1 Pd 2.72



Q ends up most stable, edging out the next structure by 831 meV/atom.



## P
Entry from Alexandria: LiLaPm after structural relaxation (GGA-PBE).

Values from the calculation:
Symmetry: I4mm
Mass density in g/cm³: 5.23

a = 3.7852 Å, b = 3.7852 Å, c = 6.9738 Å
α = 105.75°, β = 105.75°, γ = 90.00°
Last column: nearest neighbours and their distance in Å.
Atoms (fractional coordinates):
Li 0.6701 0.6701 0.3402  4 Pm 3.29, 4 La 3.37
Pm 0.3191 0.3191 0.6382  4 Li 3.29, 4 La 3.64
La 0.0108 0.0108 0.0216  4 Li 3.37, 4 Pm 3.64



## Q
Entry from Alexandria: LiLaPm after structural relaxation (GGA-PBE).

Values from the calculation:
Symmetry: P3m1
Mass density in g/cm³: 5.04

a = 3.5966 Å, b = 3.5966 Å, c = 8.5489 Å
α = 90.00°, β = 90.00°, γ = 120.00°
Last column: nearest neighbours and their distance in Å.
Atoms (fractional coordinates):
La 0.3333 0.6667 0.6721  3 Li 3.51, 6 La 3.60, 3 Pm 3.62
Li 0.0000 0.0000 0.0033  3 Pm 3.44, 3 La 3.51, 6 Li 3.60
Pm 0.6667 0.3333 0.3246  3 Li 3.44, 6 Pm 3.60, 3 La 3.62



P ends up most stable, edging out the next structure by 17 meV/atom.



## P
Entry from Alexandria: LiLaPm after structural relaxation (GGA-PBE).

Values from the calculation:
Symmetry: C2/m
Mass density in g/cm³: 5.23

a = 3.6991 Å, b = 3.6991 Å, c = 13.4912 Å
α = 90.00°, β = 90.00°, γ = 89.99°
Last column: nearest neighbours and their distance in Å.
Atoms (fractional coordinates):
Li 0.7503 0.7503 0.4523  4 Li 2.91-2.92
Li 0.2497 0.2497 0.5477  4 Li 2.91-2.92
La 0.2508 0.2508 0.2839  5 Li 3.46-3.56, 4 Pm 3.65-3.66, 4 La 3.70
La 0.7492 0.7492 0.7161  5 Li 3.46-3.56, 4 Pm 3.65-3.66, 4 La 3.70
Pm 0.7502 0.7502 0.0945  8 Pm 3.65-3.70, 4 La 3.65-3.66
Pm 0.2498 0.2498 0.9055  8 Pm 3.65-3.70, 4 La 3.65-3.66



## Q
Entry from Alexandria: LiLaPm after structural relaxation (GGA-PBE).

Values from the calculation:
Symmetry: P2_1/m
Mass density in g/cm³: 5.31

a = 5.5214 Å, b = 5.7224 Å, c = 6.3841 Å
α = 90.01°, β = 115.53°, γ = 90.00°
Last column: nearest neighbours and their distance in Å.
Atoms (fractional coordinates):
La 0.7345 0.2499 0.4682  5 Li 3.34-3.68, 3 Pm 3.44-3.71
La 0.2655 0.7501 0.5318  5 Li 3.34-3.68, 3 Pm 3.44-3.71
Li 0.4148 0.2501 0.8294  2 Pm 3.20-3.21, 4 La 3.34-3.46, 2 Li 3.47
Li 0.5852 0.7499 0.1706  2 Pm 3.20-3.21, 4 La 3.34-3.46, 2 Li 3.47
Pm 0.0559 0.2500 0.1115  2 Pm 3.14, 2 Li 3.20-3.21, 2 La 3.44-3.45
Pm 0.9441 0.7500 0.8885  2 Pm 3.14, 2 Li 3.20-3.21, 2 La 3.44-3.45



P ends up most stable, edging out the next structure by 119 meV/atom.